10
Lattice="7.691 0.000 0.000 0.000 7.691 0.000 0.000 0.000 2.818" Properties=species:S:1:pos:R:3 comment="Os2Ru2Pb (PBE, relaxed)" magnetic_moment_mub_per_fu=0.000 dos_at_fermi_per_ev_cell=8.6 e_form_mev_per_atom=549 pbc="T T T"
Os 0.933 2.913 0.000
Os 2.913 6.759 0.000
Os 4.779 0.933 0.000
Os 6.759 4.779 0.000
Ru 1.291 5.137 1.409
Ru 2.554 1.291 1.409
Ru 5.137 6.400 1.409
Ru 6.400 2.554 1.409
Pb 0.000 0.000 0.000
Pb 3.846 3.846 0.000

=====

8
Lattice="5.610 0.000 0.000 0.000 5.610 0.000 0.000 0.000 5.631" Properties=species:S:1:pos:R:3 comment="ScAg (PBE, relaxed)" magnetic_moment_mub_per_fu=0.000 dos_at_fermi_per_ev_cell=7.3 e_form_mev_per_atom=-12 pbc="T T T"
Sc 1.124 1.124 0.000
Sc 1.681 3.929 2.816
Sc 3.929 1.681 2.816
Sc 4.486 4.486 0.000
Ag 1.063 1.063 2.816
Ag 1.742 3.868 0.000
Ag 3.868 1.742 0.000
Ag 4.547 4.547 2.816

=====

6
Lattice="3.198 0.000 0.000 0.000 3.198 0.000 0.000 0.000 9.598" Properties=species:S:1:pos:R:3 comment="HfTi2Zn3 (PBE, relaxed)" magnetic_moment_mub_per_fu=0.000 dos_at_fermi_per_ev_cell=1.7 e_form_mev_per_atom=-186 pbc="T T T"
Hf 0.000 0.000 0.000
Ti 0.000 0.000 3.264
Ti 0.000 0.000 6.334
Zn 1.599 1.599 1.753
Zn 1.599 1.599 4.799
Zn 1.599 1.599 7.845

=====

8
Lattice="-6.874 6.874 2.751 6.874 -6.874 2.751 6.874 6.874 -2.751" Properties=species:S:1:pos:R:3 comment="Rb2TiPb (PBE, relaxed)" magnetic_moment_mub_per_fu=2.000 dos_at_fermi_per_ev_cell=0.4 e_form_mev_per_atom=556 pbc="T T T"
Rb 1.115 3.437 0.688
Rb -3.437 5.760 2.064
Rb -1.115 10.311 0.688
Rb 3.437 7.989 2.064
Ti 6.874 0.000 1.376
Ti 0.000 0.000 2.751
Pb 0.000 0.000 0.000
Pb 0.000 6.874 1.376

=====

4
Lattice="-1.786 1.786 6.554 1.786 -1.786 6.554 1.786 1.786 -6.554" Properties=species:S:1:pos:R:3 comment="AgIrCl2 (PBE, relaxed)" magnetic_moment_mub_per_fu=1.017 dos_at_fermi_per_ev_cell=5.0 total_energy_ev_per_cell=-12.91 pbc="T T T"
Ag 0.000 0.000 0.000
Ir 0.000 1.786 3.277
Cl 1.786 0.000 3.277
Cl 0.000 0.000 6.554

=====

19
Lattice="5.131 2.962 3.958 -5.131 2.962 3.958 0.000 -5.925 3.958" Properties=species:S:1:pos:R:3 comment="TaTi12In6 (PBE, relaxed)" magnetic_moment_mub_per_fu=0.001 dos_at_fermi_per_ev_cell=24.1 e_form_mev_per_atom=28 pbc="T T T"
Ta 0.000 0.000 0.000
Ti -1.571 0.393 2.297
Ti 0.445 -1.557 2.297
Ti -1.699 -0.532 4.836
Ti 1.126 1.164 2.297
Ti -0.389 -1.738 7.038
Ti 1.310 -1.206 4.836
Ti -1.310 1.206 7.038
Ti 0.389 1.738 4.836
Ti -1.126 -1.164 9.577
Ti 1.699 0.532 7.038
Ti -0.445 1.557 9.577
Ti 1.571 -0.393 9.577
In -0.843 -3.178 4.534
In -3.174 -0.859 7.340
In -2.331 2.320 4.534
In 2.331 -2.320 7.340
In 3.174 0.859 4.534
In 0.843 3.178 7.340

=====

3
Lattice="-1.780 1.780 4.797 1.780 -1.780 4.797 1.780 1.780 -4.797" Properties=species:S:1:pos:R:3 comment="PmNiAg (PBE, relaxed)" magnetic_moment_mub_per_fu=0.000 dos_at_fermi_per_ev_cell=2.3 e_form_mev_per_atom=-122 pbc="T T T"
Pm 0.000 0.000 0.000
Ni 0.000 0.000 3.271
Ag 0.000 0.000 6.667

=====

10
Lattice="4.715 0.000 0.000 0.000 4.715 0.000 0.000 0.000 9.382" Properties=species:S:1:pos:R:3 comment="Cs2SrCaF6 (PBE, relaxed)" magnetic_moment_mub_per_fu=0.121 dos_at_fermi_per_ev_cell=0.0 total_energy_ev_per_cell=-51.08 pbc="T T T"
Cs 0.000 0.000 2.271
Cs 0.000 0.000 7.111
Sr 2.357 2.357 4.691
Ca 2.357 2.357 0.000
F 0.000 2.357 0.000
F 0.000 2.357 4.691
F 2.357 0.000 0.000
F 2.357 0.000 4.691
F 2.357 2.357 2.243
F 2.357 2.357 7.138

=====

What did the first record say?
10
Lattice="7.691 0.000 0.000 0.000 7.691 0.000 0.000 0.000 2.818" Properties=species:S:1:pos:R:3 comment="Os2Ru2Pb (PBE, relaxed)" magnetic_moment_mub_per_fu=0.000 dos_at_fermi_per_ev_cell=8.6 e_form_mev_per_atom=549 pbc="T T T"
Os 0.933 2.913 0.000
Os 2.913 6.759 0.000
Os 4.779 0.933 0.000
Os 6.759 4.779 0.000
Ru 1.291 5.137 1.409
Ru 2.554 1.291 1.409
Ru 5.137 6.400 1.409
Ru 6.400 2.554 1.409
Pb 0.000 0.000 0.000
Pb 3.846 3.846 0.000